16
Lattice="7.990 0.000 0.000 0.000 7.990 0.000 0.000 0.000 7.990" Properties=species:S:1:pos:R:3 comment="NaPrEuIn PBE relaxed" total_magnetization_mub_per_cell=29.64 pbc="T T T"
Na 0.000 0.000 0.000
Na 0.000 3.995 3.995
Na 3.995 0.000 3.995
Na 3.995 3.995 0.000
Pr 1.998 1.998 5.993
Pr 1.998 5.993 1.998
Pr 5.993 1.998 1.998
Pr 5.993 5.993 5.993
Eu 1.998 1.998 1.998
Eu 1.998 5.993 5.993
Eu 5.993 1.998 5.993
Eu 5.993 5.993 1.998
In 0.000 0.000 3.995
In 0.000 3.995 0.000
In 3.995 0.000 0.000
In 3.995 3.995 3.995



12
Lattice="3.085 -5.341 0.000 3.085 5.341 0.000 -2.051 0.000 11.573" Properties=species:S:1:pos:R:3 comment="La2Dy3HoEr6 PBE relaxed" total_magnetization_mub_per_cell=0.00 pbc="T T T"
La 3.085 3.563 0.000
La 3.085 -3.563 0.000
Dy -1.025 0.000 5.787
Dy 2.059 1.779 5.787
Dy 2.059 -1.779 5.787
Ho 3.085 0.000 0.000
Er 0.005 1.774 8.634
Er 1.041 0.000 2.942
Er 0.005 -1.774 8.634
Er 4.114 1.774 2.939
Er 3.077 0.000 8.631
Er 4.114 -1.774 2.939



| no. | total DFT energy (no corrections) (eV for the cell shown) | energy of formation from the pure elements (eV per atom) |
| --- | --- | --- |
| 1 | -79.082 | -0.1647 |
| 2 | -55.338 | 0.0232 |